No. 1
# Pm3Tl2Pb, optimized geometry, DFT PBE-GGA
data_Pm3Tl2Pb
_chemical_formula_sum 'Pm12 Tl8 Pb4'
_cell_length_a 16.6523
_cell_length_b 6.5946
_cell_length_c 6.6624
_cell_angle_alpha 90.00
_cell_angle_beta 102.09
_cell_angle_gamma 90.00
_symmetry_space_group_name_H-M 'C 1 2/c 1'
_symmetry_Int_Tables_number 15
_symmetry_space_group_name_Hall '-C 2yc'
loop_
_atom_site_label
_atom_site_type_symbol
_atom_site_fract_x
_atom_site_fract_y
_atom_site_fract_z
_atom_site_occupancy
Pm1 Pm 0.0000 0.1356 0.2500 1
Pm2 Pm 0.1705 0.3823 0.5963 1
Tl1 Tl 0.1658 0.1175 0.0615 1
Pb1 Pb 0.0000 0.3630 0.7500 1
# Energy above the lowest structure with this stoichiometry, meV per atom: 7
# Calculated total energy, eV/atom: -4.187
# E_form, meV per atom: -405

No. 2
# SrTmB12, optimized geometry, DFT PBE-GGA
data_SrTmB12
_chemical_formula_sum 'Sr1 Tm1 B12'
_cell_length_a 4.1351
_cell_length_b 4.1351
_cell_length_c 8.2724
_cell_angle_alpha 90.00
_cell_angle_beta 90.00
_cell_angle_gamma 90.00
_symmetry_space_group_name_H-M 'P 4/m m m'
_symmetry_Int_Tables_number 123
_symmetry_space_group_name_Hall '-P 4 2'
loop_
_atom_site_label
_atom_site_type_symbol
_atom_site_fract_x
_atom_site_fract_y
_atom_site_fract_z
_atom_site_occupancy
Sr1 Sr 0.0000 0.0000 0.0000 1
Tm1 Tm 0.0000 0.0000 0.5000 1
B1 B 0.2004 0.5000 0.2543 1
B2 B 0.5000 0.5000 0.1024 1
B3 B 0.5000 0.5000 0.4019 1
# Calculated total energy, eV/atom: -6.572
# E_form, meV per atom: -409

No. 3
# NaTcPt, optimized geometry, DFT PBE-GGA
data_NaTcPt
_chemical_formula_sum 'Na2 Tc2 Pt2'
_cell_length_a 3.7141
_cell_length_b 3.7141
_cell_length_c 8.3307
_cell_angle_alpha 90.00
_cell_angle_beta 90.00
_cell_angle_gamma 90.00
_symmetry_space_group_name_H-M 'P 4/n m m'
_symmetry_Int_Tables_number 129
loop_
_symmetry_equiv_pos_as_xyz
'x,y,z'
'-x,-y,-z'
'-y+1/2,x,z'
'y+1/2,-x,-z'
'-x+1/2,-y+1/2,z'
'x+1/2,y+1/2,-z'
'y,-x+1/2,z'
'-y,x+1/2,-z'
'x+1/2,-y,-z'
'-x+1/2,y,z'
'-y,-x,-z'
'y,x,z'
'-x,y+1/2,-z'
'x,-y+1/2,z'
'y+1/2,x+1/2,-z'
'-y+1/2,-x+1/2,z'
loop_
_atom_site_label
_atom_site_type_symbol
_atom_site_fract_x
_atom_site_fract_y
_atom_site_fract_z
_atom_site_occupancy
Na1 Na 0.2500 0.2500 0.1216 1
Tc1 Tc 0.2500 0.7500 0.5000 1
Pt1 Pt 0.2500 0.2500 0.7285 1
# Energy above the lowest structure with this stoichiometry, meV per atom: 255
# Calculated total energy, eV/atom: -5.606
# E_form, meV per atom: 303

No. 4
# Rb2Sn2Sb2As, optimized geometry, DFT PBE-GGA
data_Rb2Sn2Sb2As
_chemical_formula_sum 'Rb2 Sn2 Sb2 As1'
_cell_length_a 5.3445
_cell_length_b 7.6828
_cell_length_c 8.4519
_cell_angle_alpha 63.02
_cell_angle_beta 88.31
_cell_angle_gamma 76.09
_symmetry_space_group_name_H-M 'P -1'
_symmetry_Int_Tables_number 2
_symmetry_space_group_name_Hall '-P 1'
loop_
_atom_site_label
_atom_site_type_symbol
_atom_site_fract_x
_atom_site_fract_y
_atom_site_fract_z
_atom_site_occupancy
Rb1 Rb 0.1105 0.1676 0.2011 1
Sn1 Sn 0.3785 0.6125 0.2499 1
Sb1 Sb 0.1951 0.3129 0.5803 1
As1 As 0.5000 0.5000 0.0000 1
# Calculated total energy, eV/atom: -3.426
# Raw formation energy, meV/atom: -164

No. 5
# AsP2Os, optimized geometry, DFT PBE-GGA
data_AsP2Os
_chemical_formula_sum 'As1 P2 Os1'
_cell_length_a 4.0304
_cell_length_b 4.0710
_cell_length_c 4.2155
_cell_angle_alpha 90.00
_cell_angle_beta 106.93
_cell_angle_gamma 90.00
_symmetry_space_group_name_H-M 'P 1 2/m 1'
_symmetry_Int_Tables_number 10
_symmetry_space_group_name_Hall '-P 2y'
loop_
_atom_site_label
_atom_site_type_symbol
_atom_site_fract_x
_atom_site_fract_y
_atom_site_fract_z
_atom_site_occupancy
As1 As 0.0000 0.0000 0.0000 1
P1 P 0.2692 0.5000 0.6619 1
Os1 Os 0.5000 0.0000 0.5000 1
# Calculated total energy, eV/atom: -6.477
# E_form, meV per atom: 198

No. 6
# Tb2Pm6NdTm, optimized geometry, DFT PBE-GGA
data_Tb2Pm6NdTm
_chemical_formula_sum 'Tb8 Pm24 Nd4 Tm4'
_cell_length_a 9.2527
_cell_length_b 15.2869
_cell_length_c 9.6558
_cell_angle_alpha 90.00
_cell_angle_beta 97.07
_cell_angle_gamma 90.00
_symmetry_space_group_name_H-M 'C 1 2/c 1'
_symmetry_Int_Tables_number 15
_symmetry_space_group_name_Hall '-C 2yc'
loop_
_atom_site_label
_atom_site_type_symbol
_atom_site_fract_x
_atom_site_fract_y
_atom_site_fract_z
_atom_site_occupancy
Tb1 Tb 0.2474 0.0502 0.4536 1
Pm1 Pm 0.0614 0.3184 0.9449 1
Pm2 Pm 0.0989 0.1091 0.1179 1
Pm3 Pm 0.2125 0.2772 0.3128 1
Nd1 Nd 0.0000 0.4744 0.2500 1
Tm1 Tm 0.0000 0.0888 0.7500 1
# Calculated total energy, eV/atom: -4.586
# E_form, meV per atom: 115

No. 7
# SrScB, optimized geometry, DFT PBE-GGA
data_SrScB
_chemical_formula_sum 'Sr4 Sc4 B4'
_cell_length_a 15.0061
_cell_length_b 4.1493
_cell_length_c 5.4971
_cell_angle_alpha 90.00
_cell_angle_beta 108.63
_cell_angle_gamma 90.00
_symmetry_space_group_name_H-M 'C 1 m 1'
_symmetry_Int_Tables_number 8
_symmetry_space_group_name_Hall 'C -2y'
loop_
_atom_site_label
_atom_site_type_symbol
_atom_site_fract_x
_atom_site_fract_y
_atom_site_fract_z
_atom_site_occupancy
Sr1 Sr 0.0000 0.0000 0.0000 1
Sr2 Sr 0.1120 0.5000 0.5997 1
Sc1 Sc 0.3213 0.0000 0.8513 1
Sc2 Sc 0.3413 0.5000 0.3613 1
B1 B 0.4145 0.0000 0.5766 1
B2 B 0.4168 0.0000 0.2827 1
# Energy above the lowest structure with this stoichiometry, meV per atom: 255
# Calculated total energy, eV/atom: -4.777
# E_form, meV per atom: 120

No. 8
# HoAl6Cu4, optimized geometry, DFT PBE-GGA
data_HoAl6Cu4
_chemical_formula_sum 'Ho2 Al12 Cu8'
_cell_length_a 6.3294
_cell_length_b 6.3294
_cell_length_c 9.0718
_cell_angle_alpha 90.00
_cell_angle_beta 90.00
_cell_angle_gamma 90.00
_symmetry_space_group_name_H-M 'I -4 2 m'
_symmetry_Int_Tables_number 121
_symmetry_space_group_name_Hall 'I -4 2'
loop_
_atom_site_label
_atom_site_type_symbol
_atom_site_fract_x
_atom_site_fract_y
_atom_site_fract_z
_atom_site_occupancy
Ho1 Ho 0.0000 0.0000 0.0000 1
Al1 Al 0.0000 0.5000 0.0000 1
Al2 Al 0.1948 0.1948 0.7030 1
Cu1 Cu 0.1639 0.1639 0.4221 1
# Calculated total energy, eV/atom: -4.178
# E_form, meV per atom: -231

No. 9
# Er5PtSe5, optimized geometry, DFT PBE-GGA
data_Er5PtSe5
_chemical_formula_sum 'Er10 Pt2 Se10'
_cell_length_a 12.8992
_cell_length_b 5.7509
_cell_length_c 8.1339
_cell_angle_alpha 90.00
_cell_angle_beta 108.43
_cell_angle_gamma 90.00
_symmetry_space_group_name_H-M 'C 1 2/m 1'
_symmetry_Int_Tables_number 12
_symmetry_space_group_name_Hall '-C 2y'
loop_
_atom_site_label
_atom_site_type_symbol
_atom_site_fract_x
_atom_site_fract_y
_atom_site_fract_z
_atom_site_occupancy
Er1 Er 0.0000 0.0000 0.0000 1
Er2 Er 0.1547 0.5000 0.8316 1
Er3 Er 0.1594 0.5000 0.3294 1
Pt1 Pt 0.0000 0.5000 0.0000 1
Se1 Se 0.0000 0.5000 0.5000 1
Se2 Se 0.1728 0.0000 0.8396 1
Se3 Se 0.1789 0.0000 0.3338 1
# Calculated total energy, eV/atom: -5.893
# Raw formation energy, meV/atom: -1685

No. 10
# ZnTeIr2, optimized geometry, DFT PBE-GGA
data_ZnTeIr2
_chemical_formula_sum 'Zn2 Te2 Ir4'
_cell_length_a 6.0091
_cell_length_b 7.0766
_cell_length_c 3.1099
_cell_angle_alpha 90.00
_cell_angle_beta 90.00
_cell_angle_gamma 90.00
_symmetry_space_group_name_H-M 'C m m m'
_symmetry_Int_Tables_number 65
_symmetry_space_group_name_Hall '-C 2 2'
loop_
_atom_site_label
_atom_site_type_symbol
_atom_site_fract_x
_atom_site_fract_y
_atom_site_fract_z
_atom_site_occupancy
Zn1 Zn 0.0000 0.0000 0.0000 1
Te1 Te 0.0000 0.5000 0.0000 1
Ir1 Ir 0.2500 0.2500 0.5000 1
# Energy above the lowest structure with this stoichiometry, meV per atom: 62
# Calculated total energy, eV/atom: -5.283
# Raw formation energy, meV/atom: 251

No. 11
# Ho5Al4, optimized geometry, DFT PBE-GGA
data_Ho5Al4
_chemical_formula_sum 'Ho10 Al8'
_cell_length_a 10.8359
_cell_length_b 4.5971
_cell_length_c 10.1234
_cell_angle_alpha 90.00
_cell_angle_beta 113.86
_cell_angle_gamma 90.00
_symmetry_space_group_name_H-M 'C 1 2/m 1'
_symmetry_Int_Tables_number 12
_symmetry_space_group_name_Hall '-C 2y'
loop_
_atom_site_label
_atom_site_type_symbol
_atom_site_fract_x
_atom_site_fract_y
_atom_site_fract_z
_atom_site_occupancy
Ho1 Ho 0.0000 0.0000 0.0000 1
Ho2 Ho 0.0974 0.0000 0.3923 1
Ho3 Ho 0.2466 0.0000 0.8240 1
Al1 Al 0.0541 0.5000 0.8360 1
Al2 Al 0.1189 0.5000 0.6129 1
# Calculated total energy, eV/atom: -4.546
# E_form, meV per atom: -340

No. 12
# UOs2Ru, optimized geometry, DFT PBE-GGA
data_UOs2Ru
_chemical_formula_sum 'U3 Os6 Ru3'
_cell_length_a 2.7566
_cell_length_b 2.7566
_cell_length_c 29.1411
_cell_angle_alpha 90.00
_cell_angle_beta 90.00
_cell_angle_gamma 120.00
_symmetry_space_group_name_H-M 'R -3 m'
_symmetry_Int_Tables_number 166
_symmetry_space_group_name_Hall '-R 3 2"'
loop_
_atom_site_label
_atom_site_type_symbol
_atom_site_fract_x
_atom_site_fract_y
_atom_site_fract_z
_atom_site_occupancy
U1 U 0.0000 0.0000 0.0000 1
Os1 Os 0.0000 0.0000 0.2415 1
Ru1 Ru 0.0000 0.0000 0.5000 1
# Energy above the lowest structure with this stoichiometry, meV per atom: 464
# Calculated total energy, eV/atom: -10.502
# E_form, meV per atom: 253

- Which of these has the lowest calculated total energy?
  UOs2Ru

- Number 3 is which compound?
  NaTcPt

- Which of these has the lowest calculated total energy?
  UOs2Ru